Compound: LaGdAgPd
Source: Alexandria via LeMat-Bulk
Functional: GGA-PBE
Structure: optimized geometry

Space-group type: F-43m, No. 216
Formation energy from the elements (eV per atom): -0.52

Lattice parameters (Å, degrees): 5.207 5.207 5.207 60.00 60.00 60.00
Atoms (fractional coordinates):
Pd 0.750 0.750 0.750
Gd 0.500 0.500 0.500
Ag 0.250 0.250 0.250
La 0.000 0.000 0.000

=====

Compound: LaPmGdAg
Source: Alexandria via LeMat-Bulk
Functional: GGA-PBE
Structure: optimized geometry

Space-group type: F-43m, No. 216
Formation energy from the elements (eV per atom): 0.06

Lattice parameters (Å, degrees): 5.486 5.486 5.486 60.00 60.00 60.00
Atoms (fractional coordinates):
Ag 0.250 0.250 0.250
Pm 0.750 0.750 0.750
La 0.500 0.500 0.500
Gd 0.000 0.000 0.000

=====

Compound: LaPrGdAg
Source: Alexandria via LeMat-Bulk
Functional: GGA-PBE
Structure: optimized geometry

Space-group type: F-43m, No. 216
Formation energy from the elements (eV per atom): 0.06

Lattice parameters (Å, degrees): 5.549 5.549 5.549 60.00 60.00 60.00
Atoms (fractional coordinates):
Pr 0.500 0.500 0.500
Gd 0.250 0.250 0.250
La 0.000 0.000 0.000
Ag 0.750 0.750 0.750

=====

Compound: LaGdAgRu
Source: Alexandria via LeMat-Bulk
Functional: GGA-PBE
Structure: optimized geometry

Space-group type: F-43m, No. 216
Formation energy from the elements (eV per atom): -0.23

Lattice parameters (Å, degrees): 5.107 5.107 5.107 60.00 60.00 60.00
Atoms (fractional coordinates):
La 0.000 0.000 0.000
Ru 0.250 0.250 0.250
Gd 0.500 0.500 0.500
Ag 0.750 0.750 0.750

=====

Compound: LaGdAgSb
Source: Alexandria via LeMat-Bulk
Functional: GGA-PBE
Structure: optimized geometry

Space-group type: F-43m, No. 216
Uncorrected formation energy (eV/atom): -0.63

Lattice parameters (Å, degrees): 5.394 5.394 5.394 60.00 60.00 60.00
Atoms (fractional coordinates):
Gd 0.750 0.750 0.750
La 0.250 0.250 0.250
Sb 0.500 0.500 0.500
Ag 0.000 0.000 0.000

=====

Compound: LaGdScAg
Source: Alexandria via LeMat-Bulk
Functional: GGA-PBE
Structure: optimized geometry

Space-group type: F-43m, No. 216
Formation energy from the elements (eV per atom): 0.04

Lattice parameters (Å, degrees): 5.397 5.397 5.397 60.00 60.00 60.00
Atoms (fractional coordinates):
Gd 0.000 0.000 0.000
Sc 0.750 0.750 0.750
La 0.500 0.500 0.500
Ag 0.250 0.250 0.250

=====

Compound: LaSmGdAg
Source: Alexandria via LeMat-Bulk
Functional: GGA-PBE
Structure: optimized geometry

Space-group type: F-43m, No. 216
Formation energy from the elements (eV per atom): 0.06

Lattice parameters (Å, degrees): 5.438 5.438 5.438 60.00 60.00 60.00
Atoms (fractional coordinates):
Gd 0.000 0.000 0.000
La 0.250 0.250 0.250
Ag 0.750 0.750 0.750
Sm 0.500 0.500 0.500

=====

Compound: LaGdAgSn
Source: Alexandria via LeMat-Bulk
Functional: GGA-PBE
Structure: optimized geometry

Space-group type: F-43m, No. 216
Formation energy from the elements (eV per atom): -0.54

Lattice parameters (Å, degrees): 5.404 5.404 5.404 60.00 60.00 60.00
Atoms (fractional coordinates):
Sn 0.250 0.250 0.250
Gd 0.000 0.000 0.000
La 0.500 0.500 0.500
Ag 0.750 0.750 0.750

=====

Compound: LaTbGdAg
Source: Alexandria via LeMat-Bulk
Functional: GGA-PBE
Structure: optimized geometry

Space-group type: F-43m, No. 216
Formation energy from the elements (eV per atom): 0.06

Lattice parameters (Å, degrees): 5.499 5.499 5.499 60.00 60.00 60.00
Atoms (fractional coordinates):
La 0.500 0.500 0.500
Tb 0.750 0.750 0.750
Gd 0.000 0.000 0.000
Ag 0.250 0.250 0.250

=====

Compound: LaGdTmAg
Source: Alexandria via LeMat-Bulk
Functional: GGA-PBE
Structure: optimized geometry

Space-group type: F-43m, No. 216
Formation energy from the elements (eV per atom): 0.04

Lattice parameters (Å, degrees): 5.472 5.472 5.472 60.00 60.00 60.00
Atoms (fractional coordinates):
Gd 0.000 0.000 0.000
La 0.500 0.500 0.500
Tm 0.750 0.750 0.750
Ag 0.250 0.250 0.250

=====

Compound: LaGdZnAg
Source: Alexandria via LeMat-Bulk
Functional: GGA-PBE
Structure: optimized geometry

Space-group type: F-43m, No. 216
Formation energy from the elements (eV per atom): -0.29

Lattice parameters (Å, degrees): 5.264 5.264 5.264 60.00 60.00 60.00
Atoms (fractional coordinates):
Zn 0.000 0.000 0.000
La 0.750 0.750 0.750
Ag 0.500 0.500 0.500
Gd 0.250 0.250 0.250

=====

Compound: Li2GdAg
Source: Alexandria via LeMat-Bulk
Functional: GGA-PBE
Structure: optimized geometry

Space-group type: P4/mmm, No. 123
Energy relative to the lowest polymorph listed for this composition (meV/atom): 0
Formation energy from the elements (eV per atom): -0.03

Lattice parameters (Å, degrees): 3.364 3.364 7.277 90.00 90.00 90.00
Atoms (fractional coordinates):
Ag 0.500 0.500 0.000
Gd 0.500 0.500 0.500
Li 0.000 0.000 0.814
Li 0.000 0.000 0.186

=====

Compound: LiGdAg
Source: Alexandria via LeMat-Bulk
Functional: GGA-PBE
Structure: optimized geometry

Space-group type: I4mm, No. 107
Energy relative to the lowest polymorph listed for this composition (meV/atom): 0
Formation energy from the elements (eV per atom): -0.14

Lattice parameters (Å, degrees): 3.601 3.601 5.678 108.48 108.48 90.00
Atoms (fractional coordinates):
Gd 0.612 0.612 0.223
Ag 0.928 0.928 0.855
Li 0.311 0.311 0.622

=====

Compound: Li2GdAg
Source: Alexandria via LeMat-Bulk
Functional: GGA-PBE
Structure: optimized geometry

Space-group type: R-3m, No. 166
Energy relative to the lowest polymorph listed for this composition (meV/atom): 155
Formation energy from the elements (eV per atom): 0.13

Lattice parameters (Å, degrees): 3.141 3.141 10.560 81.45 81.45 60.00
Atoms (fractional coordinates):
Gd 0.000 0.000 0.000
Li 0.099 0.099 0.704
Li 0.901 0.901 0.296
Ag 0.500 0.500 0.500

=====

Compound: Li2GdAg
Source: Alexandria via LeMat-Bulk
Functional: GGA-PBE
Structure: optimized geometry

Space-group type: Fm-3m, No. 225
Energy relative to the lowest polymorph listed for this composition (meV/atom): 44
Formation energy from the elements (eV per atom): 0.01

Lattice parameters (Å, degrees): 4.844 4.844 4.844 60.00 60.00 60.00
Atoms (fractional coordinates):
Li 0.750 0.750 0.750
Li 0.250 0.250 0.250
Ag 0.000 0.000 0.000
Gd 0.500 0.500 0.500

=====

Compound: LiGdAg2
Source: Alexandria via LeMat-Bulk
Functional: GGA-PBE
Structure: optimized geometry

Space-group type: P4/mmm, No. 123
Energy relative to the lowest polymorph listed for this composition (meV/atom): 69
Formation energy from the elements (eV per atom): -0.15

Lattice parameters (Å, degrees): 3.399 5.067 5.067 90.00 90.00 90.00
Atoms (fractional coordinates):
Li 0.500 0.000 0.000
Gd 0.500 0.500 0.500
Ag 0.000 0.500 0.000
Ag 0.000 0.000 0.500